Record 1
7
Lattice="5.4754 0.0000 0.0000 0.0000 4.3969 0.0000 -1.1252 0.0000 6.0630" Properties=species:S:1:pos:R:3 comment="Na2H2Se3 (PBE, relaxed)" rho_g_cm3=3.24 vol_a3_per_atom=20.852 spacegroup="No. 10" final_energy_ev_per_atom=-3.28 magmom_total_mub_per_cell=0.000 pbc="T T T"
Na 0.8318 0.0000 1.7884
Na 3.5184 0.0000 4.2746
H 2.3876 2.1984 1.1046
H 1.9626 2.1984 4.9584
Se 0.0000 2.1984 0.0000
Se 0.7441 2.1984 4.0741
Se 3.6061 2.1984 1.9889



Record 2
16
Lattice="5.1458 0.0000 0.0000 0.0000 5.1458 0.0000 0.0000 0.0000 20.5682" Properties=species:S:1:pos:R:3 comment="PmNd3Sm12 (PBE, relaxed)" rho_g_cm3=7.26 vol_a3_per_atom=34.039 spacegroup="No. 123" final_energy_ev_per_atom=-4.72 magmom_total_mub_per_cell=0.000 pbc="T T T"
Pm 0.0000 0.0000 0.0000
Nd 0.0000 0.0000 5.1368
Nd 0.0000 0.0000 10.2841
Nd 0.0000 0.0000 15.4314
Sm 0.0000 2.5729 2.5627
Sm 0.0000 2.5729 7.7099
Sm 0.0000 2.5729 12.8584
Sm 0.0000 2.5729 18.0055
Sm 2.5729 0.0000 2.5627
Sm 2.5729 0.0000 7.7099
Sm 2.5729 0.0000 12.8584
Sm 2.5729 0.0000 18.0055
Sm 2.5729 2.5729 0.0000
Sm 2.5729 2.5729 5.1358
Sm 2.5729 2.5729 10.2841
Sm 2.5729 2.5729 15.4325



Record 3
8
Lattice="-4.0121 4.0121 4.0121 4.0121 -4.0121 4.0121 4.0121 4.0121 -4.0121" Properties=species:S:1:pos:R:3 comment="GaAg (PBE, relaxed)" rho_g_cm3=4.57 vol_a3_per_atom=32.292 spacegroup="No. 217" final_energy_ev_per_atom=-2.50 magmom_total_mub_per_cell=0.000 pbc="T T T"
Ga 2.4578 2.4578 -2.4578
Ga 2.4578 -2.4578 2.4578
Ga 1.5544 1.5544 1.5544
Ga -2.4578 2.4578 2.4578
Ag 1.0297 1.0297 -1.0297
Ag 1.0297 -1.0297 1.0297
Ag -1.0297 1.0297 1.0297
Ag 2.9824 2.9824 2.9824



Record 4
12
Lattice="3.5540 0.0000 0.0000 0.0000 3.5540 0.0000 0.0000 0.0000 10.6946" Properties=species:S:1:pos:R:3 comment="Zn2CrNi9 (PBE, relaxed)" rho_g_cm3=8.74 vol_a3_per_atom=11.257 spacegroup="No. 123" final_energy_ev_per_atom=-5.44 magmom_total_mub_per_cell=2.393 pbc="T T T"
Zn 0.0000 0.0000 1.7928
Zn 0.0000 0.0000 8.9017
Cr 0.0000 0.0000 5.3473
Ni 0.0000 1.7770 0.0000
Ni 0.0000 1.7770 3.6399
Ni 0.0000 1.7770 7.0547
Ni 1.7770 0.0000 0.0000
Ni 1.7770 0.0000 3.6399
Ni 1.7770 0.0000 7.0547
Ni 1.7770 1.7770 1.8059
Ni 1.7770 1.7770 5.3473
Ni 1.7770 1.7770 8.8887